Record 1
Density functional theory data (GGA-PBE) for crystalline Tl5CuBr4Cl2 at its relaxed geometry.

The structure in POSCAR format:
```
Tl5CuBr4Cl2
1.0
-6.1751 -4.8932 -1.4341
7.0250 -2.1147 -0.6737
0.0490 -2.6460 8.8170
Cl Br Tl Cu
2 4 5 1
Cartesian
-1.8750 -7.2412 2.6430
0.6259 -4.1150 3.5673
-0.1490 -2.4979 -0.7488
4.4362 -1.7862 -0.5607
-3.7777 -3.5610 0.9840
-3.7494 -5.0884 6.0735
2.1891 -1.9004 1.7735
-0.0129 -5.3728 0.7436
-2.3738 -3.2235 3.8515
2.2141 -3.2493 6.2680
0.0121 -6.7216 5.2381
-2.5993 -2.0597 -0.6037
```

Summary:
For the formation energy (no corrections), the calculation gives -9.3 eV/f.u.

---

Record 2
Density functional theory data (GGA-PBE) for crystalline MnCuRu2 at its relaxed geometry.

The structure in POSCAR format:
```
MnCuRu2
1.0
0.0000 2.9739 2.9739
2.9739 0.0000 2.9739
2.9739 2.9739 0.0000
Cu Ru Mn
1 2 1
Cartesian
2.9739 2.9739 2.9739
4.4608 4.4608 4.4608
1.4869 1.4869 1.4869
0.0000 0.0000 0.0000
```

Summary:
The density of states at the Fermi level comes out at 1.46 states/eV/atom. The value obtained for the formation energy is 221 meV per atom.

---

| no. | energy (eV per cell) |
| --- | --- |
| 1 | -35.6 |
| 2 | -30.9 |